[1]
Entry from the Alexandria database: a geometry-optimized BiP2Pd7 structure (PBE-GGA).

Values from the calculation:
SG: I4/mmm
Energy above the most stable polymorph in this dataset, meV/atom: 0
ΔH_f (0 K), eV per atom: -0.4070

POSCAR file:
```
BiP2Pd7
1.0
3.9778 0.0000 -0.7654
-0.1473 3.9751 -0.7654
-0.0530 -0.0550 10.4438
Pd Bi P
7 1 2
direct
0.1107 0.6107 0.2213 Pd
0.6107 0.1107 0.2213 Pd
0.2500 0.7500 0.5000 Pd
0.5000 0.5000 0.0000 Pd
0.7500 0.2500 0.5000 Pd
0.3893 0.8893 0.7787 Pd
0.8893 0.3893 0.7787 Pd
0.0000 0.0000 0.0000 Bi
0.6756 0.6756 0.3513 P
0.3244 0.3244 0.6487 P
```



[2]
Entry from the Alexandria database: a geometry-optimized Ti8Si2Mo structure (PBE-GGA).

Values from the calculation:
SG: C2/m
E_form (uncorrected), eV per formula unit: -3.3

POSCAR file:
```
Ti8Si2Mo
1.0
3.9443 0.0000 0.0000
0.0000 6.7324 -0.0527
-1.9722 -2.9139 6.7993
Ti Si Mo
8 2 1
direct
0.8182 0.7224 0.6364 Ti
0.0343 0.7923 0.0686 Ti
0.3252 0.0742 0.6503 Ti
0.1818 0.2776 0.3636 Ti
0.5881 0.4596 0.1762 Ti
0.9657 0.2077 0.9314 Ti
0.6748 0.9258 0.3497 Ti
0.4119 0.5404 0.8238 Ti
0.1924 0.6747 0.3848 Si
0.8076 0.3253 0.6152 Si
0.5000 0.0000 0.0000 Mo
```



[3]
Entry from the Alexandria database: a geometry-optimized Ce4Ga3Sn structure (PBE-GGA).

Values from the calculation:
SG: Pmm2
ΔH_f (0 K), eV per atom: -0.4910

POSCAR file:
```
Ce4Ga3Sn
1.0
-4.0837 1.2451 -1.3034
0.6866 -1.6991 -3.7741
-4.1939 -9.8921 3.6904
Ga Ce Sn
3 4 1
direct
0.0000 0.5000 0.5720 Ga
0.0000 0.0000 0.4307 Ga
0.5000 0.0000 0.9156 Ga
0.5000 0.5000 0.3662 Ce
0.5000 0.0000 0.6400 Ce
0.0000 0.5000 0.8499 Ce
0.0000 0.0000 0.1517 Ce
0.5000 0.5000 0.0740 Sn
```



[4]
Entry from the Alexandria database: a geometry-optimized Na4Zr2Ge5O17 structure (PBE-GGA).

Values from the calculation:
SG: P2/c
E_form (uncorrected), eV per formula unit: -54.2

POSCAR file:
```
Na4Zr2Ge5O17
1.0
5.5466 0.0000 0.0000
0.0000 7.2018 -0.0036
0.0000 -0.9255 20.5531
O Ge Na Zr
34 10 8 4
direct
0.5317 0.1031 0.4206 O
0.0866 0.9345 0.8951 O
0.7114 0.7393 0.1472 O
0.7466 0.2500 0.7500 O
0.0394 0.0449 0.3905 O
0.5829 0.0473 0.9369 O
0.4683 0.6031 0.9206 O
0.1670 0.2446 0.9895 O
0.3304 0.3377 0.3138 O
0.2886 0.2393 0.6472 O
0.9606 0.9551 0.6095 O
0.6696 0.8377 0.8138 O
0.4683 0.8969 0.5794 O
0.6696 0.6623 0.6862 O
0.7139 0.0840 0.2824 O
0.9134 0.0655 0.1049 O
0.5829 0.4527 0.5631 O
0.8330 0.7554 0.0105 O
0.8330 0.7446 0.4895 O
0.9134 0.4345 0.3951 O
0.2861 0.9160 0.7176 O
0.4171 0.5473 0.4369 O
0.9606 0.5449 0.8905 O
0.1670 0.2554 0.5105 O
0.2886 0.2607 0.8528 O
0.3304 0.1623 0.1862 O
0.7114 0.7607 0.3528 O
0.0866 0.5655 0.6049 O
0.0394 0.4551 0.1095 O
0.4171 0.9527 0.0631 O
0.2534 0.7500 0.2500 O
0.5317 0.3969 0.0794 O
0.7139 0.4160 0.2176 O
0.2861 0.5840 0.7824 O
0.2819 0.3869 0.5779 Ge
0.5088 0.2500 0.2500 Ge
0.7181 0.6131 0.4221 Ge
0.2819 0.1131 0.9221 Ge
0.2579 0.5086 0.8646 Ge
0.2579 0.9914 0.6354 Ge
0.7421 0.4914 0.1354 Ge
0.7181 0.8869 0.0779 Ge
0.4912 0.7500 0.7500 Ge
0.7421 0.0086 0.3646 Ge
0.9991 0.5285 0.2905 Na
0.2410 0.8564 0.4728 Na
0.9991 0.9715 0.2095 Na
0.0009 0.0285 0.7905 Na
0.0009 0.4715 0.7095 Na
0.2410 0.6436 0.0272 Na
0.7590 0.1436 0.5272 Na
0.7590 0.3564 0.9728 Na
0.2349 0.2900 0.4107 Zr
0.7651 0.7100 0.5893 Zr
0.7651 0.7900 0.9107 Zr
0.2349 0.2100 0.0893 Zr
```



[5]
Entry from the Alexandria database: a geometry-optimized PmDyLu structure (PBE-GGA).

Values from the calculation:
SG: P-6m2
Energy above the most stable polymorph in this dataset, meV/atom: 51
ΔH_f (0 K), eV per atom: 0.0783

POSCAR file:
```
PmDyLu
1.0
3.4671 0.0000 0.0000
0.0000 5.6061 0.0000
0.0000 -2.8030 4.8550
Pm Lu Dy
1 1 1
direct
0.1663 0.0000 0.0000 Pm
0.1671 0.6667 0.3333 Lu
0.6667 0.3333 0.6667 Dy
```



[6]
Entry from the Alexandria database: a geometry-optimized PaGaFe4 structure (PBE-GGA).

Values from the calculation:
SG: I4_1/amd
Energy above the most stable polymorph in this dataset, meV/atom: 389
ΔH_f (0 K), eV per atom: 0.2739

POSCAR file:
```
PaGaFe4
1.0
-4.1081 1.6277 1.4654
1.4366 -0.3485 4.4145
4.5191 7.7326 -3.3150
Ga Fe Pa
2 8 2
direct
0.2500 0.7500 0.5000 Ga
0.5000 0.5000 0.0000 Ga
0.1327 0.3769 0.2653 Fe
0.1115 0.8673 0.7347 Fe
0.1269 0.3827 0.7653 Fe
0.6385 0.3827 0.7653 Fe
0.6173 0.3615 0.2347 Fe
0.1327 0.8885 0.2653 Fe
0.6173 0.8731 0.2347 Fe
0.6231 0.8673 0.7347 Fe
0.7500 0.2500 0.5000 Pa
0.0000 0.0000 0.0000 Pa
```